# 1
First-principles (PBE) data for an optimized crystal structure of Pr8NdSb6, as listed in Alexandria.

## Properties
**Calculated volume**: 34.5 Å³/atom
**SG**: R-3 (148)
**ΔE_f (raw)**: -0.83 eV per atom

Unit cell a=8.329 b=8.329 c=9.870 alpha=65.04 beta=65.04 gamma=60.00
Atoms (fractional coordinates):
Sb (0.067, 0.735, 0.798)
Sb (0.601, 0.933, 0.202)
Sb (0.933, 0.265, 0.202)
Sb (0.735, 0.399, 0.798)
Sb (0.399, 0.067, 0.798)
Sb (0.265, 0.601, 0.202)
Pr (0.544, 0.213, 0.365)
Pr (0.787, 0.121, 0.635)
Pr (0.879, 0.544, 0.365)
Pr (0.213, 0.879, 0.365)
Pr (0.456, 0.787, 0.635)
Pr (0.121, 0.456, 0.635)
Pr (0.667, 0.667, 0.000)
Pr (0.333, 0.333, 0.000)
Nd (0.000, 0.000, 0.000)


# 2
First-principles (PBE) data for an optimized crystal structure of LuMnCuRu, as listed in Alexandria.

## Properties
**Calculated volume**: 16.3 Å³/atom
**SG**: F-43m (216)
**E_form**: -0.26 eV/f.u.

Unit cell a=4.516 b=4.516 c=4.516 alpha=60.00 beta=60.00 gamma=60.00
Atoms (fractional coordinates):
Ru (0.750, 0.750, 0.750)
Cu (0.250, 0.250, 0.250)
Lu (0.000, 0.000, 0.000)
Mn (0.500, 0.500, 0.500)


# 3
First-principles (PBE) data for an optimized crystal structure of YBeRu2C, as listed in Alexandria.

## Properties
**Calculated volume**: 14.2 Å³/atom
**SG**: Cmcm (63)
**E_form**: -1.75 eV/f.u.

Unit cell a=3.788 b=5.658 c=7.044 alpha=90.00 beta=90.00 gamma=109.56
Atoms (fractional coordinates):
Ru (0.173, 0.347, 0.558)
Ru (0.173, 0.347, 0.942)
Ru (0.827, 0.653, 0.442)
Ru (0.827, 0.653, 0.058)
Be (0.729, 0.459, 0.750)
Be (0.271, 0.541, 0.250)
Y (0.544, 0.088, 0.250)
Y (0.456, 0.912, 0.750)
C (0.000, 0.000, 0.500)
C (0.000, 0.000, 0.000)


# 4
First-principles (PBE) data for an optimized crystal structure of La6Si2Pb, as listed in Alexandria.

## Properties
**Calculated volume**: 31.1 Å³/atom
**SG**: Immm (71)
**ΔE_f (raw)**: -0.53 eV per atom

Unit cell a=9.001 b=9.001 c=9.001 alpha=105.63 beta=110.06 gamma=112.80
Atoms (fractional coordinates):
Pb (0.000, 0.000, 0.000)
Pb (0.000, 0.500, 0.500)
La (0.912, 0.721, 0.191)
La (0.707, 0.389, 0.682)
La (0.088, 0.279, 0.809)
La (0.469, 0.279, 0.191)
La (0.531, 0.721, 0.809)
La (0.293, 0.611, 0.318)
La (0.790, 0.240, 0.030)
La (0.293, 0.975, 0.682)
La (0.790, 0.760, 0.550)
La (0.210, 0.760, 0.970)
La (0.210, 0.240, 0.450)
La (0.707, 0.025, 0.318)
Si (0.500, 0.610, 0.110)
Si (0.500, 0.390, 0.890)
Si (0.620, 0.000, 0.620)
Si (0.380, 0.000, 0.380)


# 5
First-principles (PBE) data for an optimized crystal structure of Sc3Pb, as listed in Alexandria.

## Properties
**Calculated volume**: 24.3 Å³/atom
**SG**: R-3m (166)
**E_form**: -0.63 eV/f.u.

Unit cell a=6.000 b=6.000 c=6.000 alpha=116.88 beta=116.88 gamma=116.88
Atoms (fractional coordinates):
Sc (0.500, 0.500, 0.000)
Sc (0.500, 0.000, 0.500)
Sc (0.000, 0.500, 0.500)
Pb (0.000, 0.000, 0.000)


# 6
First-principles (PBE) data for an optimized crystal structure of Na2InSnSe, as listed in Alexandria.

## Properties
**Calculated volume**: 35.6 Å³/atom
**SG**: P4/mmm (123)
**ΔE_f (raw)**: 0.31 eV per atom

Unit cell a=5.749 b=5.381 c=5.749 alpha=90.00 beta=90.00 gamma=90.00
Atoms (fractional coordinates):
Sn (0.500, 0.500, 0.500)
Se (0.000, 0.500, 0.000)
In (0.000, 0.000, 0.000)
Na (0.000, 0.000, 0.500)
Na (0.500, 0.000, 0.000)


# 7
First-principles (PBE) data for an optimized crystal structure of TaCl, as listed in Alexandria.

## Properties
**Calculated volume**: 15.9 Å³/atom
**SG**: Pm-3m (221)
**ΔE_f (raw)**: 0.92 eV per atom

Unit cell a=3.168 b=3.168 c=3.168 alpha=90.00 beta=90.00 gamma=90.00
Atoms (fractional coordinates):
Ta (0.500, 0.500, 0.500)
Cl (0.000, 0.000, 0.000)


# 8
First-principles (PBE) data for an optimized crystal structure of Mn3SbP, as listed in Alexandria.

## Properties
**Calculated volume**: 25.2 Å³/atom
**SG**: Pm-3m (221)
**ΔE to the lowest computed polymorph**: 24.27 kcal/mol of atoms
**ΔE_f (raw)**: 1.23 eV per atom

Unit cell a=5.014 b=5.014 c=5.014 alpha=90.00 beta=90.00 gamma=90.00
Atoms (fractional coordinates):
Mn (0.000, 0.000, 0.500)
Mn (0.000, 0.500, 0.000)
Mn (0.500, 0.000, 0.000)
Sb (0.000, 0.000, 0.000)
P (0.500, 0.500, 0.500)


Size of the total moment: 0.0; 4.3; 0.0; 0.0; 0.0; 0.0; 0.0; 13.0 (μB/cell)
Total DFT energy (no corrections): -5.35; -6.83; -7.94; -5.43; -5.83; -2.26; -5.93; -6.18 (eV/atom)
Mass density: 6.420; 10.060; 7.285; 6.514; 5.851; 3.347; 11.301; 4.183 (g/cm3)